This record from Alexandria via LeMat-Bulk describes a geometry-optimized TlVF3 structure. The functional is PBE with a Hubbard U.

Crystal system ... cubic
D(E_F) ... 2.6 states/eV/f.u.
Relative energy among the computed polymorphs ... 9.7 meV per atom
Final energy ... -5.4139 eV per atom
Space-group type ... Fd-3m (227)

Unit cell a=7.8599 b=7.8599 c=7.8599 alpha=60.00 beta=60.00 gamma=60.00
Fractional coordinates of all 20 atoms:
Tl  0.0000  0.0000  0.0000
Tl  0.0000  0.0000  0.5000
Tl  0.0000  0.5000  0.0000
Tl  0.5000  0.0000  0.0000
V  0.0000  0.5000  0.5000
V  0.5000  0.0000  0.5000
V  0.5000  0.5000  0.0000
V  0.5000  0.5000  0.5000
F  0.1846  0.1846  0.5654
F  0.1846  0.5654  0.1846
F  0.1846  0.5654  0.5654
F  0.4346  0.4346  0.8154
F  0.4346  0.8154  0.4346
F  0.4346  0.8154  0.8154
F  0.5654  0.1846  0.1846
F  0.5654  0.1846  0.5654
F  0.5654  0.5654  0.1846
F  0.8154  0.4346  0.4346
F  0.8154  0.4346  0.8154
F  0.8154  0.8154  0.4346